Density functional theory data (GGA-PBE) for a geometry-optimized Na2NbOsW structure.

Computed properties:
ΔE_f   2084 meV per atom
Size of the total moment   0.0 μB per formula unit
Energy   -26.5 eV/cell

Cell: 4.9122 4.7542 4.9122 Å, 90.00 90.00 90.00°
Closest atoms and distances in Å follow each position.
Atoms (fractional coordinates):
Nb: 0.5000 0.5000 0.5000  8 Na 3.42, 4 W 3.47
Os: 0.0000 0.0000 0.0000  2 W 2.38, 4 Na 2.46
Na: 0.5000 0.0000 0.0000  2 Os 2.46
Na: 0.0000 0.0000 0.5000  2 Os 2.46
W: 0.0000 0.5000 0.0000  2 Os 2.38